1.
K2YHF6 after structural relaxation. Source: the Alexandria database, functional PBE.

**Raw total energy**: -5.333 eV/atom
**N(E_F)**: 0.00 states/eV per atom

Cell: 5.9194 5.9129 6.8507 Å, 54.68 54.66 70.25°
Fractional coordinates of all 10 atoms:
K 0.7497 0.2497 0.5006
K 0.2503 0.7503 0.4994
Y 0.0000 0.0000 0.0000
H 0.5000 0.5000 0.0000
F 0.2217 0.2217 0.5562
F 0.7777 0.7771 0.0010
F 0.3303 0.6702 0.0000
F 0.6697 0.3298 0.0000
F 0.2223 0.2229 0.9990
F 0.7783 0.7783 0.4438


2.
LaHF3 after structural relaxation. Source: the Alexandria database, functional PBE.

**Raw total energy**: -5.139 eV/atom
**N(E_F)**: 0.56 states/eV per atom

Cell: 3.8058 3.8058 3.8058 Å, 90.00 90.00 90.00°
Site moments in Bohr magnetons follow the coordinates.
Fractional coordinates of all 5 atoms:
H 0.0000 0.0000 0.0000  0.27
F 0.0000 0.5000 0.0000  0.03
F 0.0000 0.0000 0.5000  0.01
F 0.5000 0.0000 0.0000  0.06
La 0.5000 0.5000 0.5000  0.04


3.
La2HF8 after structural relaxation. Source: the Alexandria database, functional PBE.

**Raw total energy**: -5.514 eV/atom
**N(E_F)**: 0.41 states/eV per atom

Cell: 4.5130 6.2793 6.2793 Å, 67.29 102.26 102.26°
Site moments in Bohr magnetons follow the coordinates.
Fractional coordinates of all 11 atoms:
La 0.1293 0.3237 0.3237  0.00
La 0.8707 0.6763 0.6763  0.00
H 0.0000 0.0000 0.0000  0.00
F 0.0139 0.0587 0.7080  0.03
F 0.9861 0.2920 0.9413  0.03
F 0.5592 0.2176 0.2176  0.26
F 0.4408 0.7824 0.7824  0.26
F 0.0139 0.7080 0.0587  0.03
F 0.9861 0.9413 0.2920  0.03
F 0.3023 0.5615 0.5615  0.14
F 0.6977 0.4385 0.4385  0.14


4.
LaH2F6 after structural relaxation. Source: the Alexandria database, functional PBE.

**Raw total energy**: -5.024 eV/atom

Cell: 5.8036 6.3119 6.3119 Å, 85.45 73.07 73.07°
Site moments in Bohr magnetons follow the coordinates.
Fractional coordinates of all 18 atoms:
La 0.2500 0.2007 0.7993  -0.01
La 0.7500 0.7993 0.2007  -0.01
H 0.4489 0.6437 0.6764  0.00
H 0.0511 0.3236 0.3563  0.00
H 0.5511 0.3563 0.3236  0.00
H 0.9489 0.6764 0.6437  0.00
F 0.4469 0.8266 0.5934  0.03
F 0.0531 0.4066 0.1734  0.03
F 0.5531 0.1734 0.4066  0.03
F 0.9469 0.5934 0.8266  0.03
F 0.9658 0.7391 0.4760  0.02
F 0.5342 0.5240 0.2609  0.02
F 0.0342 0.2609 0.5240  0.02
F 0.4658 0.4760 0.7391  0.02
F 0.1870 0.8278 0.0055  0.46
F 0.3130 0.9945 0.1722  0.46
F 0.8130 0.1722 0.9945  0.46
F 0.6870 0.0055 0.8278  0.46


5.
La3HF after structural relaxation. Source: the Alexandria database, functional PBE.

**Raw total energy**: -4.482 eV/atom
**N(E_F)**: 1.07 states/eV per atom

Cell: 5.0447 5.0447 5.0447 Å, 90.00 90.00 90.00°
Fractional coordinates of all 5 atoms:
H 0.5000 0.5000 0.5000
F 0.0000 0.0000 0.0000
La 0.0000 0.5000 0.0000
La 0.0000 0.0000 0.5000
La 0.5000 0.0000 0.0000


6.
La2HF after structural relaxation. Source: the Alexandria database, functional PBE.

**Raw total energy**: -4.616 eV/atom
**N(E_F)**: 1.40 states/eV per atom

Cell: 4.7431 4.7431 4.7431 Å, 60.00 60.00 60.00°
Fractional coordinates of all 4 atoms:
H 0.0000 0.0000 0.0000
F 0.5000 0.5000 0.5000
La 0.2500 0.2500 0.2500
La 0.7500 0.7500 0.7500